#a
The following is a PBE calculation of a geometry-optimized K2ZnCl structure, from Alexandria.

Properties
The space group is F-43m. The total magnetic moment comes out at 0.52 μB per formula unit.

abc: 5.874 5.874 5.874
angles: 60.00 60.00 60.00
Element x y z (fractional)
Zn 0.750 0.750 0.750
K 0.000 0.000 0.000
K 0.250 0.250 0.250
Cl 0.500 0.500 0.500


#b
The following is a PBE calculation of a geometry-optimized K2ZnCl structure, from Alexandria.

Properties
The space group is Cm. The total magnetic moment comes out at 0.00 μB per formula unit.

abc: 9.609 9.609 4.170
angles: 77.39 77.39 23.31
Element x y z (fractional)
Zn 0.447 0.447 0.555
K 0.068 0.068 0.932
K 0.280 0.280 0.218
Cl 0.704 0.704 0.795


Most stable to least stable, the ends of the list are #b and #a.